Entry 1:
LiDy2Pu: optimized geometry, GGA-PBE.

POSCAR file:
```
LiDy2Pu
1.0
3.453 0.000 0.000
0.000 3.453 0.000
0.000 0.000 9.214
Dy Pu Li
2 1 1
direct
0.000 0.000 0.762
0.000 0.000 0.238
0.500 0.500 0.500
0.500 0.500 0.000
```

total DFT energy (no corrections) = -6.21 eV/atom
DOS at the Fermi energy = 2.52 states/eV/atom
ρ = 8.7 g/cm³
SG = P4/mmm (123)


Entry 2:
YFe2I: optimized geometry, GGA-PBE.

POSCAR file:
```
YFe2I
1.0
7.830 0.000 0.000
0.000 7.830 0.000
3.915 3.915 2.878
Fe I Y
4 2 2
direct
0.094 0.625 0.250
0.875 0.906 0.750
0.375 0.344 0.750
0.656 0.125 0.250
0.000 0.000 0.000
0.750 0.250 0.500
0.250 0.750 0.500
0.500 0.500 0.000
```

total DFT energy (no corrections) = -5.62 eV/atom
DOS at the Fermi energy = 1.38 states/eV/atom
ρ = 6.2 g/cm³
SG = I-42d (122)
energy relative to the elements, uncorrected = 0.6135 eV per atom


Entry 3:
KSb2Mo: optimized geometry, GGA-PBE.

POSCAR file:
```
KSb2Mo
1.0
-4.858 -1.022 -1.776
-0.818 -4.074 -3.246
-2.593 -4.258 1.716
Sb Mo K
2 1 1
direct
0.000 0.000 0.000
0.250 0.250 0.250
0.750 0.750 0.750
0.500 0.500 0.500
```

total DFT energy (no corrections) = -4.16 eV/atom
DOS at the Fermi energy = 0.62 states/eV/atom
ρ = 6.1 g/cm³
SG = F-43m (216)
energy relative to the elements, uncorrected = 0.8879 eV per atom


Entry 4:
Dy2Y3Ho6Mg: optimized geometry, GGA-PBE.

POSCAR file:
```
Dy2Y3Ho6Mg
1.0
-3.516 -1.827 4.643
4.461 -3.620 -2.062
6.997 6.617 6.553
Ho Mg Y Dy
6 1 3 2
direct
0.082 0.415 0.247
0.252 0.252 0.752
0.918 0.585 0.753
0.415 0.082 0.247
0.748 0.748 0.248
0.585 0.918 0.753
0.000 0.000 0.000
0.834 0.166 0.500
0.166 0.834 0.500
0.500 0.500 0.500
0.334 0.666 0.000
0.666 0.334 0.000
```

total DFT energy (no corrections) = -4.77 eV/atom
DOS at the Fermi energy = 1.46 states/eV/atom
ρ = 7.2 g/cm³
SG = C2/m (12)


Entry 5:
AcCe3Pr4Te8: optimized geometry, GGA-PBE.

POSCAR file:
```
AcCe3Pr4Te8
1.0
9.072 0.000 0.000
0.000 9.114 0.024
-4.536 -4.531 6.418
Te Pr Ce Ac
8 4 3 1
direct
0.749 0.747 0.498
0.254 0.752 0.508
0.744 0.752 0.998
0.256 0.248 0.002
0.746 0.248 0.492
0.746 0.248 0.002
0.251 0.253 0.502
0.254 0.752 0.998
0.500 0.000 0.500
0.000 0.000 0.000
0.500 0.000 0.000
0.000 0.000 0.500
0.000 0.500 0.500
0.500 0.500 0.000
0.500 0.500 0.500
0.000 0.500 0.000
```

total DFT energy (no corrections) = -5.55 eV/atom
DOS at the Fermi energy = 1.70 states/eV/atom
ρ = 7.0 g/cm³
SG = R-3m (166)
energy relative to the elements, uncorrected = -1.4176 eV per atom


Entry 6:
Rb3BeI6: optimized geometry, GGA-PBE.

POSCAR file:
```
Rb3BeI6
1.0
8.698 0.000 0.000
0.000 8.698 0.000
4.349 4.349 6.146
Rb I Be
3 6 1
direct
0.000 0.000 0.000
0.250 0.750 0.500
0.750 0.250 0.500
0.282 0.282 0.000
0.718 0.718 0.000
0.718 0.282 0.000
0.718 0.718 0.564
0.282 0.282 0.436
0.282 0.718 0.000
0.500 0.500 0.000
```

total DFT energy (no corrections) = -2.43 eV/atom
DOS at the Fermi energy = 1.92 states/eV/atom
ρ = 3.7 g/cm³
SG = I4/mmm (139)
energy relative to the elements, uncorrected = -0.8392 eV per atom


Entry 7:
Cr2CoMo: optimized geometry, GGA-PBE.

POSCAR file:
```
Cr2CoMo
1.0
2.531 0.000 0.000
0.000 2.531 0.000
0.000 0.000 7.834
Cr Co Mo
2 1 1
direct
0.000 0.000 0.968
0.000 0.000 0.532
0.500 0.500 0.750
0.500 0.500 0.250
```

total DFT energy (no corrections) = -9.11 eV/atom
DOS at the Fermi energy = 0.97 states/eV/atom
ρ = 8.6 g/cm³
SG = P4/mmm (123)


Entry 8:
La4RhS2Cl: optimized geometry, GGA-PBE.

POSCAR file:
```
La4RhS2Cl
1.0
4.101 0.000 0.000
0.000 7.361 -0.197
0.000 2.548 6.821
La Cl S Rh
4 1 2 1
direct
0.000 0.747 0.762
0.000 0.253 0.238
0.500 0.763 0.240
0.500 0.237 0.760
0.000 0.500 0.500
0.000 0.000 0.000
0.500 0.000 0.500
0.500 0.500 0.000
```

total DFT energy (no corrections) = -6.30 eV/atom
DOS at the Fermi energy = 0.67 states/eV/atom
ρ = 6.1 g/cm³
SG = P2/m (10)
energy relative to the elements, uncorrected = -1.6520 eV per atom


Entry 9:
LaCeAgSn: optimized geometry, GGA-PBE.

POSCAR file:
```
LaCeAgSn
1.0
-1.177 -4.981 1.897
3.915 -3.051 2.271
-0.042 -0.933 5.378
Ag Ce La Sn
1 1 1 1
direct
0.750 0.750 0.750
0.000 0.000 0.000
0.500 0.500 0.500
0.250 0.250 0.250
```

total DFT energy (no corrections) = -4.86 eV/atom
DOS at the Fermi energy = 2.44 states/eV/atom
ρ = 7.3 g/cm³
SG = F-43m (216)


Entry 10:
Y8Ge3Se4S: optimized geometry, GGA-PBE.

POSCAR file:
```
Y8Ge3Se4S
1.0
-7.064 -2.234 -3.532
-0.482 -6.481 5.064
0.831 7.555 3.097
Se Y S Ge
4 8 1 3
direct
0.500 0.000 0.500
0.000 0.000 0.000
0.000 0.000 0.500
0.500 0.000 0.000
0.754 0.264 0.011
0.257 0.264 0.011
0.254 0.261 0.508
0.754 0.264 0.507
0.746 0.739 0.492
0.246 0.736 0.989
0.246 0.736 0.493
0.743 0.736 0.989
0.000 0.500 0.000
0.500 0.500 0.000
0.000 0.500 0.500
0.500 0.500 0.500
```

total DFT energy (no corrections) = -6.79 eV/atom
DOS at the Fermi energy = 0.18 states/eV/atom
ρ = 5.4 g/cm³
SG = R-3m (166)
energy relative to the elements, uncorrected = -1.5663 eV per atom


Entry 11:
H3WS: optimized geometry, GGA-PBE.

POSCAR file:
```
H3WS
1.0
-1.674 -1.718 2.378
2.872 -1.518 0.925
0.599 2.480 2.213
S W H
1 1 3
direct
0.000 0.000 0.000
0.500 0.500 0.500
0.500 0.000 0.000
0.000 0.000 0.500
0.000 0.500 0.000
```

total DFT energy (no corrections) = -4.00 eV/atom
DOS at the Fermi energy = 0.57 states/eV/atom
ρ = 9.4 g/cm³
SG = Pm-3m (221)


Entry 12:
SrPaNb2O8: optimized geometry, GGA-PBE.

POSCAR file:
```
SrPaNb2O8
1.0
5.367 0.000 0.000
0.000 5.367 0.000
-2.683 -2.683 5.779
Sr O Pa Nb
1 8 1 2
direct
0.750 0.250 0.500
0.096 0.001 0.685
0.765 0.833 0.158
0.588 0.684 0.685
0.167 0.608 0.842
0.392 0.325 0.158
0.999 0.412 0.315
0.675 0.235 0.842
0.316 0.904 0.315
0.000 0.000 0.000
0.250 0.750 0.500
0.500 0.500 0.000
```

total DFT energy (no corrections) = -8.84 eV/atom
DOS at the Fermi energy = 0.48 states/eV/atom
ρ = 6.3 g/cm³
SG = I-4 (82)
energy relative to the elements, uncorrected = -2.9280 eV per atom